Compound: RbCa2O
Source: Alexandria via LeMat-Bulk
Functional: PBE
Structure: optimized geometry

It has space group Fd-3m (No. 227, origin choice 2), with a = 10.6194 Å, b = 10.6194 Å, c = 10.6194 Å, α = 90.00°, β = 90.00° and γ = 90.00°. The inequivalent atoms are Rb at (0.1250, 0.1250, 0.1250), Ca at (0.0000, 0.0000, 0.5000) and O at (0.1250, 0.1250, 0.6250).

The calculation puts the uncorrected formation energy at -1239.1 meV/atom. The value obtained for the density is 2.0 g/cm³.



Compound: Rb2CaO6
Source: Alexandria via LeMat-Bulk
Functional: PBE
Structure: optimized geometry

It has space group P-31m (No. 162), with a = 6.6956 Å, b = 6.6956 Å, c = 4.4393 Å, α = 90.00°, β = 90.00° and γ = 120.00°. The inequivalent atoms are Rb at (0.3333, 0.6667, 0.0000), Ca at (0.0000, 0.0000, 0.5000) and O at (0.0000, 0.3403, 0.5998).

The calculation puts the uncorrected formation energy at -297.0 meV/atom. The value obtained for the density is 3.0 g/cm³.



Compound: RbCa2O
Source: Alexandria via LeMat-Bulk
Functional: PBE
Structure: optimized geometry

It has space group P2/c (No. 13), with a = 9.7825 Å, b = 6.1237 Å, c = 6.0307 Å, α = 90.00°, β = 107.74° and γ = 90.00°. The inequivalent atoms are Rb at (0.0000, 0.2346, 0.2500), Ca at (0.3912, 0.2918, 0.9461) and O at (0.5000, 0.4998, 0.2500).

The calculation puts the uncorrected formation energy at -1324.0 meV/atom. The value obtained for the density is 1.8 g/cm³.



Compound: Rb3CaO8
Source: Alexandria via LeMat-Bulk
Functional: PBE
Structure: optimized geometry

It has space group Cm (No. 8), with a = 8.6864 Å, b = 10.5656 Å, c = 6.8200 Å, α = 90.00°, β = 129.46° and γ = 90.00°. The inequivalent atoms are Rb at (0.0000, 0.0000, 0.0000), Rb at (0.0003, 0.2498, 0.4994), Ca at (0.4983, 0.0000, 0.9996), O at (0.0508, 0.2764, 0.0014), O at (0.1516, 0.0000, 0.6886), O at (0.1703, 0.5000, 0.4480), O at (0.1882, 0.3437, 0.9994), O at (0.2215, 0.0000, 0.5522) and O at (0.4645, 0.0000, 0.3130).

The calculation puts the uncorrected formation energy at -1067.9 meV/atom. The value obtained for the density is 2.9 g/cm³.



Compound: RbCa2O
Source: Alexandria via LeMat-Bulk
Functional: PBE
Structure: optimized geometry

It has space group Fm-3m (No. 225), with a = 8.0240 Å, b = 8.0240 Å, c = 8.0240 Å, α = 90.00°, β = 90.00° and γ = 90.00°. The inequivalent atoms are Rb at (0.0000, 0.0000, 0.0000), Ca at (0.2500, 0.2500, 0.2500) and O at (0.0000, 0.0000, 0.5000).

The calculation puts the uncorrected formation energy at 335.9 meV/atom. The value obtained for the density is 2.3 g/cm³.



Compound: Rb2CaO
Source: Alexandria via LeMat-Bulk
Functional: PBE
Structure: optimized geometry

It has space group Fm-3m (No. 225), with a = 8.5827 Å, b = 8.5827 Å, c = 8.5827 Å, α = 90.00°, β = 90.00° and γ = 90.00°. The inequivalent atoms are Rb at (0.2500, 0.2500, 0.2500), Ca at (0.0000, 0.0000, 0.0000) and O at (0.0000, 0.0000, 0.5000).

The energy above the most stable polymorph in this dataset comes out at 1.141 eV/atom. The calculation puts the uncorrected formation energy at 239.9 meV/atom. The value obtained for the density is 2.4 g/cm³.



Compound: Rb3Ca2ReO6
Source: Alexandria via LeMat-Bulk
Functional: PBE
Structure: optimized geometry

It has space group C2/m (No. 12), with a = 5.9487 Å, b = 10.2763 Å, c = 6.7055 Å, α = 90.00°, β = 107.18° and γ = 90.00°. The inequivalent atoms are Rb at (0.0000, 0.0000, 0.0000), Rb at (0.0000, 0.3319, 0.0000), Ca at (0.0000, 0.1661, 0.5000), Re at (0.0000, 0.5000, 0.5000), O at (0.2018, 0.3564, 0.6726) and O at (0.2308, 0.5000, 0.3243).

The calculation puts the uncorrected formation energy at -1918.1 meV/atom. The value obtained for the density is 5.2 g/cm³.



Compound: RbCaRe2O8
Source: Alexandria via LeMat-Bulk
Functional: PBE
Structure: optimized geometry

It has space group P-3 (No. 147), with a = 6.0828 Å, b = 6.0828 Å, c = 7.9524 Å, α = 90.00°, β = 90.00° and γ = 120.00°. The inequivalent atoms are Rb at (0.0000, 0.0000, 0.0000), Ca at (0.0000, 0.0000, 0.5000), Re at (0.3333, 0.6667, 0.7561), O at (0.1712, 0.8245, 0.6834) and O at (0.3333, 0.6667, 0.9774).

The calculation puts the uncorrected formation energy at -1980.0 meV/atom. The value obtained for the density is 4.1 g/cm³.



Compound: Rb2Ca2ReO6
Source: Alexandria via LeMat-Bulk
Functional: PBE
Structure: optimized geometry

It has space group C2/m (No. 12), with a = 5.8847 Å, b = 9.9372 Å, c = 6.8379 Å, α = 90.00°, β = 106.69° and γ = 90.00°. The inequivalent atoms are Rb at (0.0000, 0.1700, 0.0000), Ca at (0.0000, 0.3362, 0.5000), Re at (0.0000, 0.0000, 0.5000), O at (0.1947, 0.1429, 0.6653) and O at (0.2230, 0.0000, 0.3321).

The calculation puts the uncorrected formation energy at -2103.5 meV/atom. The value obtained for the density is 4.6 g/cm³.



Compound: Rb3CaRe2O9
Source: Alexandria via LeMat-Bulk
Functional: PBE
Structure: optimized geometry

It has space group P-3m1 (No. 164), with a = 5.8573 Å, b = 5.8573 Å, c = 7.2920 Å, α = 90.00°, β = 90.00° and γ = 120.00°. The inequivalent atoms are Rb at (0.0000, 0.0000, 0.0000), Rb at (0.3333, 0.6667, 0.6655), Ca at (0.0000, 0.0000, 0.5000), Re at (0.3333, 0.6667, 0.1614), O at (0.0000, 0.5000, 0.0000) and O at (0.1820, 0.3640, 0.3013).

The calculation puts the uncorrected formation energy at -1883.9 meV/atom. The value obtained for the density is 6.2 g/cm³.



Compound: Rb2CaReO6
Source: Alexandria via LeMat-Bulk
Functional: PBE
Structure: optimized geometry

It has space group P-3m1 (No. 164), with a = 6.4833 Å, b = 6.4833 Å, c = 5.9342 Å, α = 90.00°, β = 90.00° and γ = 120.00°. The inequivalent atoms are Rb at (0.3333, 0.6667, 0.1222), Ca at (0.0000, 0.0000, 0.5000), Re at (0.0000, 0.0000, 0.0000) and O at (0.1352, 0.2705, 0.8074).

The calculation puts the uncorrected formation energy at -1753.6 meV/atom. The value obtained for the density is 3.8 g/cm³.



Compound: RbCa2ReO6
Source: Alexandria via LeMat-Bulk
Functional: PBE
Structure: optimized geometry

It has space group R3 (No. 146, hexagonal axes), with a = 5.8657 Å, b = 5.8657 Å, c = 15.8848 Å, α = 90.00°, β = 90.00° and γ = 120.00°. The inequivalent atoms are Rb at (0.0000, 0.0000, 0.0000), Ca at (0.0000, 0.0000, 0.2601), Ca at (0.0000, 0.0000, 0.7752), Re at (0.0000, 0.0000, 0.4564), O at (0.0520, 0.5896, 0.0437) and O at (0.0651, 0.3854, 0.1845).

The calculation puts the uncorrected formation energy at -2219.1 meV/atom. The value obtained for the density is 4.7 g/cm³.